The following is a DFT calculation (GGA-PBE) of a geometry-optimized KSrBi structure.

## Properties
Uncorrected energy, eV per atom: -2.68

a = 5.4825 Å, b = 5.4825 Å, c = 5.5832 Å
α = 90.00°, β = 90.00°, γ = 120.00°
Space group P3m1 (No. 156)
Inequivalent atoms, fractional coordinates:
K (0.0000, 0.0000, 0.0000) [1 per cell]
Sr (0.3333, 0.6667, 0.5007) [1 per cell]
Bi (0.6667, 0.3333, 0.3341) [1 per cell]


The following is a DFT calculation (GGA-PBE) of a geometry-optimized CaAlSe structure.

## Properties
Energy above the lowest structure with this stoichiometry, meV per atom: 57

a = 12.369 Å, b = 3.755 Å, c = 6.501 Å
α = 90.00°, β = 90.00°, γ = 90.00°
Space group Amm2 (No. 38)
Inequivalent atoms, fractional coordinates:
Ca (0.198, 0.000, 0.000) [4 per cell]
Al (0.000, 0.000, 0.667) [2 per cell]
Al (0.500, 0.000, 0.999) [2 per cell]
Se (0.366, 0.000, 0.666) [4 per cell]


The following is a DFT calculation (GGA-PBE) of a geometry-optimized Ac2Y3Rh2 structure.

## Properties
Uncorrected energy, eV per atom: -6.56

a = 12.621 Å, b = 3.926 Å, c = 9.350 Å
α = 90.00°, β = 116.64°, γ = 90.00°
Space group C2/m (No. 12)
Inequivalent atoms, fractional coordinates:
Ac (0.165, 0.000, 0.298) [4 per cell]
Y (0.000, 0.500, 0.500) [2 per cell]
Y (0.121, 0.500, 0.923) [4 per cell]
Rh (0.171, 0.000, 0.745) [4 per cell]


The following is a DFT calculation (GGA-PBE) of a geometry-optimized SbAs2Se structure.

## Properties
Energy above the lowest structure with this stoichiometry, meV per atom: 66

a = 4.025 Å, b = 4.025 Å, c = 5.894 Å
α = 90.00°, β = 90.00°, γ = 90.00°
Space group P4mm (No. 99)
Inequivalent atoms, fractional coordinates:
Sb (0.000, 0.000, 0.000) [1 per cell]
As (0.000, 0.000, 0.532) [1 per cell]
As (0.500, 0.500, 0.529) [1 per cell]
Se (0.500, 0.500, 0.031) [1 per cell]


The following is a DFT calculation (GGA-PBE) of a geometry-optimized Nd8Bi3Te4As structure.

## Properties
Uncorrected energy, eV per atom: -5.46

a = 9.0486 Å, b = 9.0486 Å, c = 22.1080 Å
α = 90.00°, β = 90.00°, γ = 120.00°
Space group R-3m (No. 166, hexagonal axes)
Inequivalent atoms, fractional coordinates:
Nd (0.0000, 0.0000, 0.2497) [6 per cell]
Nd (0.0165, 0.5082, 0.2457) [18 per cell]
Bi (0.0000, 0.5000, 0.5000) [9 per cell]
Te (0.0000, 0.0000, 0.0000) [3 per cell]
Te (0.0000, 0.5000, 0.0000) [9 per cell]
As (0.0000, 0.0000, 0.5000) [3 per cell]


The following is a DFT calculation (GGA-PBE) of a geometry-optimized AlAg3Pd structure.

## Properties
Energy above the lowest structure with this stoichiometry, meV per atom: 178

a = 5.061 Å, b = 5.061 Å, c = 5.061 Å
α = 90.00°, β = 90.00°, γ = 90.00°
Space group Pm-3m (No. 221)
Inequivalent atoms, fractional coordinates:
Al (0.000, 0.000, 0.000) [1 per cell]
Ag (0.000, 0.500, 0.500) [3 per cell]
Pd (0.500, 0.500, 0.500) [1 per cell]


The following is a DFT calculation (GGA-PBE) of a geometry-optimized Ce3TcB7 structure.

## Properties
Uncorrected energy, eV per atom: -7.30

a = 3.597 Å, b = 16.072 Å, c = 9.412 Å
α = 90.00°, β = 90.00°, γ = 90.00°
Space group Cmcm (No. 63)
Inequivalent atoms, fractional coordinates:
Ce (0.000, 0.106, 0.064) [8 per cell]
Ce (0.000, 0.248, 0.750) [4 per cell]
Tc (0.000, 0.056, 0.750) [4 per cell]
B (0.000, 0.275, 0.032) [8 per cell]
B (0.000, 0.367, 0.153) [8 per cell]
B (0.000, 0.464, 0.750) [4 per cell]
B (0.000, 0.477, 0.095) [8 per cell]


The following is a DFT calculation (GGA-PBE) of a geometry-optimized PuCd4Hg3 structure.

## Properties
Energy above the lowest structure with this stoichiometry, meV per atom: 22

a = 13.356 Å, b = 3.141 Å, c = 11.272 Å
α = 90.00°, β = 125.57°, γ = 90.00°
Space group C2/m (No. 12)
Inequivalent atoms, fractional coordinates:
Pu (0.000, 0.000, 0.000) [2 per cell]
Cd (0.127, 0.000, 0.375) [4 per cell]
Cd (0.242, 0.000, 0.736) [4 per cell]
Hg (0.000, 0.500, 0.500) [2 per cell]
Hg (0.126, 0.500, 0.868) [4 per cell]


no.,DOS(E_F) (states/eV per cell)
1,0.45
2,8.57
3,14.08
4,1.68
5,25.52
6,1.95
7,39.42
8,22.82